RbCoP2O: optimized geometry, PBE with a Hubbard U.

The structure in extended XYZ format:
```
5
Lattice="5.3439 0.0000 0.0000 0.0000 5.3439 0.0000 0.0000 0.0000 4.2390" Properties=species:S:1:pos:R:3 pbc="T T T"
Rb 0.0000 0.0000 0.0000
Co 2.6720 2.6720 2.1195
P 0.0000 2.6720 0.0000
P 2.6720 0.0000 0.0000
O 0.0000 0.0000 2.1195
```

Values from the calculation:
Total magnetization = 3.29 μB/cell
DFT total energy = -2.21 eV per atom
Distance to the lowest polymorph of the same formula = 1.8342 eV per atom